Entry 1:
First-principles (PBE) data for Pr3Nd4Cd4 after structural relaxation, as listed in Alexandria via LeMat-Bulk. Values from VASP.

```
&SYSTEM
  ibrav = 0, nat = 11, ntyp = 3
/
ATOMIC_SPECIES
Pr 140.91 Pr.upf
Nd 144.24 Nd.upf
Cd 112.41 Cd.upf
CELL_PARAMETERS angstrom
-2.722 3.556 9.014
2.722 -3.556 9.014
2.722 3.556 -9.014
ATOMIC_POSITIONS angstrom
Pr 0.000 0.000 0.000
Pr 2.722 0.000 7.211
Pr 0.000 3.556 1.803
Nd 2.722 1.678 -3.250
Nd 2.722 1.678 3.250
Nd 0.000 1.878 5.764
Nd 0.000 1.878 12.264
Cd 0.000 0.000 3.133
Cd 2.722 2.089 0.000
Cd 0.000 1.467 9.014
Cd 0.000 0.000 14.895
```

Results
DOS(E_F) = 13.77 states/eV/f.u.

=====

Entry 2:
First-principles (PBE) data for Pr8Nd2Cd after structural relaxation, as listed in Alexandria via LeMat-Bulk. Values from VASP.

```
&SYSTEM
  ibrav = 0, nat = 11, ntyp = 3
/
ATOMIC_SPECIES
Pr 140.91 Pr.upf
Nd 144.24 Nd.upf
Cd 112.41 Cd.upf
CELL_PARAMETERS angstrom
5.817 -2.604 0.000
5.817 2.604 0.000
-3.150 0.000 12.539
ATOMIC_POSITIONS angstrom
Pr -0.606 0.000 4.072
Pr -1.371 0.000 11.936
Pr 1.024 0.000 7.360
Pr 2.075 0.000 10.784
Pr 6.408 0.000 1.754
Pr 7.459 0.000 5.179
Pr 9.855 0.000 0.602
Pr 9.090 0.000 8.466
Nd 2.909 0.000 3.003
Nd 5.575 0.000 9.535
Cd 4.242 0.000 6.269
```

Results
DOS(E_F) = 15.17 states/eV/f.u.
Excess energy over the best structure of this formula in the dataset = 0 meV/atom

=====

Entry 3:
First-principles (PBE) data for PrNdCdPt after structural relaxation, as listed in Alexandria via LeMat-Bulk. Values from VASP.

```
&SYSTEM
  ibrav = 0, nat = 4, ntyp = 4
/
ATOMIC_SPECIES
Pr 140.91 Pr.upf
Nd 144.24 Nd.upf
Cd 112.41 Cd.upf
Pt 195.08 Pt.upf
CELL_PARAMETERS angstrom
0.000 3.732 3.732
3.732 0.000 3.732
3.732 3.732 0.000
ATOMIC_POSITIONS angstrom
Pr 0.000 0.000 0.000
Nd 3.732 3.732 3.732
Cd 1.866 1.866 1.866
Pt 5.598 5.598 5.598
```

Results
DOS(E_F) = 3.64 states/eV/f.u.

=====

Entry 4:
First-principles (PBE) data for PrNdCdRh after structural relaxation, as listed in Alexandria via LeMat-Bulk. Values from VASP.

```
&SYSTEM
  ibrav = 0, nat = 4, ntyp = 4
/
ATOMIC_SPECIES
Pr 140.91 Pr.upf
Nd 144.24 Nd.upf
Cd 112.41 Cd.upf
Rh 102.91 Rh.upf
CELL_PARAMETERS angstrom
0.000 3.708 3.708
3.708 0.000 3.708
3.708 3.708 0.000
ATOMIC_POSITIONS angstrom
Pr 0.000 0.000 0.000
Nd 3.708 3.708 3.708
Cd 5.561 5.561 5.561
Rh 1.854 1.854 1.854
```

Results
DOS(E_F) = 2.32 states/eV/f.u.

=====

Entry 5:
First-principles (PBE) data for PrNdSmCd after structural relaxation, as listed in Alexandria via LeMat-Bulk. Values from VASP.

```
&SYSTEM
  ibrav = 0, nat = 4, ntyp = 4
/
ATOMIC_SPECIES
Pr 140.91 Pr.upf
Nd 144.24 Nd.upf
Sm 150.36 Sm.upf
Cd 112.41 Cd.upf
CELL_PARAMETERS angstrom
3.745 0.000 0.000
0.000 3.745 0.000
0.000 0.000 9.062
ATOMIC_POSITIONS angstrom
Pr 0.000 0.000 0.000
Nd 1.872 1.872 6.514
Sm 1.872 1.872 2.507
Cd 0.000 0.000 4.470
```

Results
DOS(E_F) = 4.51 states/eV/f.u.
Excess energy over the best structure of this formula in the dataset = 0 meV/atom

=====

Entry 6:
First-principles (PBE) data for Pr4Nd2SmCd2 after structural relaxation, as listed in Alexandria via LeMat-Bulk. Values from VASP.

```
&SYSTEM
  ibrav = 0, nat = 9, ntyp = 4
/
ATOMIC_SPECIES
Pr 140.91 Pr.upf
Nd 144.24 Nd.upf
Sm 150.36 Sm.upf
Cd 112.41 Cd.upf
CELL_PARAMETERS angstrom
6.243 0.000 0.000
0.971 6.267 0.000
2.492 2.806 7.540
ATOMIC_POSITIONS angstrom
Pr 1.296 1.983 2.102
Pr 3.529 3.784 6.406
Pr 6.178 5.289 1.134
Pr 8.410 7.090 5.439
Nd 3.216 4.786 2.841
Nd 6.490 4.287 4.700
Sm 4.367 1.403 3.770
Cd 5.164 6.876 6.986
Cd 4.542 2.196 0.554
```

Results
DOS(E_F) = 10.82 states/eV/f.u.

=====

Entry 7:
First-principles (PBE) data for Pr2Nd2Sm2Cd after structural relaxation, as listed in Alexandria via LeMat-Bulk. Values from VASP.

```
&SYSTEM
  ibrav = 0, nat = 7, ntyp = 4
/
ATOMIC_SPECIES
Pr 140.91 Pr.upf
Nd 144.24 Nd.upf
Sm 150.36 Sm.upf
Cd 112.41 Cd.upf
CELL_PARAMETERS angstrom
6.197 -1.883 0.000
6.197 1.883 0.000
-5.691 0.000 10.293
ATOMIC_POSITIONS angstrom
Pr 2.339 0.000 1.304
Pr 4.363 0.000 8.989
Nd -1.117 0.000 5.996
Nd 7.819 0.000 4.298
Sm -0.998 0.000 2.472
Sm 7.700 0.000 7.821
Cd 6.197 0.000 0.000
```

Results
DOS(E_F) = 9.56 states/eV/f.u.

=====

Entry 8:
First-principles (PBE) data for PrNdSmCd after structural relaxation, as listed in Alexandria via LeMat-Bulk. Values from VASP.

```
&SYSTEM
  ibrav = 0, nat = 4, ntyp = 4
/
ATOMIC_SPECIES
Pr 140.91 Pr.upf
Nd 144.24 Nd.upf
Sm 150.36 Sm.upf
Cd 112.41 Cd.upf
CELL_PARAMETERS angstrom
0.000 3.964 3.964
3.964 0.000 3.964
3.964 3.964 0.000
ATOMIC_POSITIONS angstrom
Pr 0.000 0.000 0.000
Nd 3.964 3.964 3.964
Sm 5.947 5.947 5.947
Cd 1.982 1.982 1.982
```

Results
DOS(E_F) = 5.51 states/eV/f.u.
Excess energy over the best structure of this formula in the dataset = 121 meV/atom

=====

| no. | ΔH_f (0 K) (eV per atom) |
| --- | --- |
| 1 | -0.103 |
| 2 | -0.023 |
| 3 | -0.609 |
| 4 | -0.407 |
| 5 | -0.152 |
| 6 | -0.058 |
| 7 | 0.018 |
| 8 | -0.031 |